Entry 1:
A relaxed structure of TbTmSi2Pt4, computed with PBE.

Computed properties:
The electronic total energy is -6.687 eV/atom. The value obtained for the magnetic moment is 0.00 Bohr magnetons per cell.

Cell: 7.106 3.858 10.184 Å, 90.00 90.00 90.00°
Space group Amm2 (No. 38)
Asymmetric unit:
Tb 0.000 0.000 0.000 x2
Tm 0.500 0.000 0.897 x2
Si 0.000 0.000 0.717 x2
Si 0.500 0.000 0.179 x2
Pt 0.201 0.000 0.305 x4
Pt 0.301 0.000 0.590 x4



Entry 2:
A relaxed structure of SiTc2Pt, computed with PBE.

Computed properties:
The electronic total energy is -7.976 eV/atom. The value obtained for the magnetic moment is 2.03 Bohr magnetons per cell.

Cell: 6.151 6.151 6.151 Å, 90.00 90.00 90.00°
Space group F-43m (No. 216)
Asymmetric unit:
Si 0.000 0.000 0.000 x4
Tc 0.000 0.000 0.500 x4
Tc 0.250 0.250 0.750 x4
Pt 0.250 0.250 0.250 x4



Entry 3:
A relaxed structure of SiTcPt, computed with PBE.

Computed properties:
The electronic total energy is -7.624 eV/atom. The energy above the most stable polymorph in this dataset is 0 meV per atom. The value obtained for the magnetic moment is 0.01 Bohr magnetons per cell.

Cell: 5.720 5.720 5.720 Å, 90.00 90.00 90.00°
Space group F-43m (No. 216)
Asymmetric unit:
Si 0.000 0.000 0.000 x4
Tc 0.250 0.250 0.250 x4
Pt 0.250 0.250 0.750 x4



Entry 4:
A relaxed structure of Th3Si4Pt2, computed with PBE.

Computed properties:
The electronic total energy is -7.301 eV/atom. The value obtained for the magnetic moment is 0.01 Bohr magnetons per cell.

Cell: 11.036 4.227 8.307 Å, 90.00 100.46 90.00°
Space group C2/m (No. 12)
Asymmetric unit:
Th 0.000 0.000 0.000 x2
Th 0.165 0.500 0.669 x4
Si 0.055 0.000 0.389 x4
Si 0.223 0.500 0.057 x4
Pt 0.112 0.500 0.282 x4



Entry 5:
A relaxed structure of TlSiPt5, computed with PBE.

Computed properties:
The electronic total energy is -5.778 eV/atom. The value obtained for the magnetic moment is 0.00 Bohr magnetons per cell.

Cell: 4.006 4.006 7.214 Å, 90.00 90.00 90.00°
Space group P4/mmm (No. 123)
Asymmetric unit:
Tl 0.000 0.000 0.000 x1
Si 0.500 0.500 0.500 x1
Pt 0.000 0.500 0.300 x4
Pt 0.500 0.500 0.000 x1



Entry 6:
A relaxed structure of TmSiPt2, computed with PBE.

Computed properties:
The electronic total energy is -6.691 eV/atom. The value obtained for the magnetic moment is 0.00 Bohr magnetons per cell.

Cell: 7.248 6.972 5.479 Å, 90.00 90.00 90.00°
Space group Pnma (No. 62)
Asymmetric unit:
Tm 0.026 0.250 0.135 x4
Si 0.119 0.750 0.365 x4
Pt 0.183 0.050 0.591 x8



Entry 7:
A relaxed structure of YTmSi2Pt, computed with PBE.

Computed properties:
The electronic total energy is -6.617 eV/atom. The value obtained for the magnetic moment is 1.29 Bohr magnetons per cell.

Cell: 10.285 4.276 10.105 Å, 90.00 117.61 90.00°
Space group C2/m (No. 12)
Asymmetric unit:
Y 0.189 0.000 0.108 x4
Tm 0.008 0.000 0.327 x4
Si 0.017 0.500 0.886 x4
Si 0.139 0.500 0.557 x4
Pt 0.229 0.500 0.345 x4



Entry 8:
A relaxed structure of U2Si4Pt3, computed with PBE.

Computed properties:
The electronic total energy is -7.624 eV/atom. The value obtained for the magnetic moment is 0.06 Bohr magnetons per cell.

Cell: 5.969 13.764 7.343 Å, 90.00 90.00 90.00°
Space group Cmce (No. 64)
Asymmetric unit:
U 0.000 0.082 0.079 x8
Si 0.000 0.180 0.478 x8
Si 0.250 0.065 0.750 x8
Pt 0.000 0.000 0.500 x4
Pt 0.250 0.240 0.750 x8



Entry 9:
A relaxed structure of U3Si4Pt2, computed with PBE.

Computed properties:
The electronic total energy is -8.146 eV/atom. The value obtained for the magnetic moment is 3.88 Bohr magnetons per cell.

Cell: 10.725 4.153 8.320 Å, 90.00 116.52 90.00°
Space group C2/m (No. 12)
Asymmetric unit:
U 0.000 0.000 0.000 x2
U 0.101 0.500 0.651 x4
Si 0.108 0.000 0.403 x4
Si 0.232 0.500 0.054 x4
Pt 0.172 0.500 0.298 x4



Entry 10:
A relaxed structure of USi2Pt2, computed with PBE.

Computed properties:
The electronic total energy is -7.276 eV/atom. The value obtained for the magnetic moment is 3.54 Bohr magnetons per cell.

Cell: 3.879 3.879 12.146 Å, 90.00 90.00 90.00°
Space group P4/nmm (No. 129, origin choice 2)
Asymmetric unit:
U 0.250 0.250 0.229 x2
Si 0.250 0.250 0.455 x2
Si 0.250 0.750 0.000 x2
Pt 0.250 0.250 0.647 x2
Pt 0.250 0.250 0.874 x2



Entry 11:
A relaxed structure of USi2Pt2, computed with PBE.

Computed properties:
The electronic total energy is -7.030 eV/atom. The value obtained for the magnetic moment is 3.21 Bohr magnetons per cell.

Cell: 3.818 3.818 11.796 Å, 90.00 90.00 90.00°
Space group P4/nmm (No. 129, origin choice 2)
Asymmetric unit:
U 0.250 0.250 0.212 x2
Si 0.250 0.250 0.866 x2
Si 0.250 0.750 0.000 x2
Pt 0.250 0.250 0.435 x2
Pt 0.250 0.250 0.668 x2



Entry 12:
A relaxed structure of SiPtW, computed with PBE.

Computed properties:
The electronic total energy is -8.071 eV/atom. The value obtained for the magnetic moment is 3.51 Bohr magnetons per cell.

Cell: 5.817 5.817 5.817 Å, 90.00 90.00 90.00°
Space group F-43m (No. 216)
Asymmetric unit:
Si 0.000 0.000 0.000 x4
Pt 0.250 0.250 0.750 x4
W 0.250 0.250 0.250 x4